(1)
{
  "formula": "CrBrCl2",
  "functional": "PBE",
  "state": "optimized geometry",
  "cell": [[6.625, 0.000, 0.000], [0.000, 6.639, 0.000], [0.000, 0.000, 3.983]],
  "species": ["Cr", "Cr", "Br", "Br", "Cl", "Cl", "Cl", "Cl"],
  "fractional_positions": [[0.000, 0.000, 0.000], [0.500, 0.500, 0.000], [0.000, 0.500, 0.000], [0.500, 0.000, 0.000], [0.250, 0.250, 0.500], [0.250, 0.750, 0.500], [0.750, 0.250, 0.500], [0.750, 0.750, 0.500]],
  "dos_ef_per_ev_atom": 1.721,
  "e_tot_ev_per_atom": -3.46,
  "sg": "No. 65",
  "e_form_raw_ev_per_fu": 1.1
}

=====

(2)
{
  "formula": "Cr2BrCl",
  "functional": "PBE",
  "state": "optimized geometry",
  "cell": [[4.139, 0.000, 0.000], [-2.070, 3.585, 0.000], [0.000, 0.000, 17.984]],
  "species": ["Cr", "Cr", "Cr", "Cr", "Cr", "Cr", "Br", "Br", "Br", "Cl", "Cl", "Cl"],
  "fractional_positions": [[0.000, 0.000, 0.243], [0.000, 0.000, 0.757], [0.333, 0.667, 0.424], [0.333, 0.667, 0.910], [0.667, 0.333, 0.090], [0.667, 0.333, 0.576], [0.000, 0.000, 0.000], [0.333, 0.667, 0.667], [0.667, 0.333, 0.333], [0.000, 0.000, 0.500], [0.333, 0.667, 0.167], [0.667, 0.333, 0.833]],
  "dos_ef_per_ev_atom": 0.311,
  "e_tot_ev_per_atom": -5.56,
  "sg": "No. 166",
  "e_form_raw_ev_per_fu": 0.5
}

=====

(3)
{
  "formula": "CrBrCl",
  "functional": "PBE",
  "state": "optimized geometry",
  "cell": [[4.407, 0.000, 0.000], [0.000, 4.594, 0.000], [0.000, 0.000, 4.597]],
  "species": ["Cr", "Br", "Cl"],
  "fractional_positions": [[0.000, 0.000, 0.000], [0.000, 0.500, 0.216], [0.500, 0.000, 0.829]],
  "dos_ef_per_ev_atom": 0.190,
  "e_tot_ev_per_atom": -5.02,
  "sg": "No. 25",
  "e_form_raw_ev_per_fu": -1.9
}

=====

(4)
{
  "formula": "CrBrCl2",
  "functional": "PBE",
  "state": "optimized geometry",
  "cell": [[3.696, 0.000, 0.000], [-1.848, 3.201, 0.000], [0.000, 0.000, 22.979]],
  "species": ["Cr", "Cr", "Cr", "Br", "Br", "Br", "Cl", "Cl", "Cl", "Cl", "Cl", "Cl"],
  "fractional_positions": [[0.000, 0.000, 0.000], [0.333, 0.667, 0.667], [0.667, 0.333, 0.333], [0.000, 0.000, 0.270], [0.333, 0.667, 0.936], [0.667, 0.333, 0.603], [0.000, 0.000, 0.507], [0.000, 0.000, 0.722], [0.333, 0.667, 0.174], [0.333, 0.667, 0.388], [0.667, 0.333, 0.055], [0.667, 0.333, 0.841]],
  "dos_ef_per_ev_atom": 0.209,
  "e_tot_ev_per_atom": -4.18,
  "sg": "No. 160",
  "e_form_raw_ev_per_fu": -1.7
}